# TlAgAu2

A relaxed TlAgAu2 crystal (PBE-GGA, Alexandria via LeMat-Bulk).

Properties
Its formation enthalpy at 0 K is 0.252 eV/f.u. The spin magnetization comes out at 0.0 μB per cell. As for the density of states at the Fermi level: 1.04 states/eV/f.u.

CIF file:
```
data_TlAgAu2
_symmetry_space_group_name_H-M 'P m m 2'
_symmetry_Int_Tables_number 25
_symmetry_space_group_name_Hall 'P 2 -2'
_cell_length_a 3.408
_cell_length_b 3.941
_cell_length_c 6.040
_cell_angle_alpha 90.00
_cell_angle_beta 90.00
_cell_angle_gamma 90.00
loop_
_atom_site_label
_atom_site_type_symbol
_atom_site_fract_x
_atom_site_fract_y
_atom_site_fract_z
_atom_site_occupancy
Tl1 Tl 0.000 0.000 0.000 1
Ag1 Ag 0.500 0.500 0.272 1
Au1 Au 0.000 0.000 0.500 1
Au2 Au 0.500 0.500 0.741 1
```

=====

# TlAgAu2

A relaxed TlAgAu2 crystal (PBE-GGA, Alexandria via LeMat-Bulk).

Properties
Its formation enthalpy at 0 K is 0.523 eV/f.u. The spin magnetization comes out at 0.0 μB per cell. As for the density of states at the Fermi level: 0.76 states/eV/f.u.

CIF file:
```
data_TlAgAu2
_symmetry_space_group_name_H-M 'R -3 m'
_symmetry_Int_Tables_number 166
_symmetry_space_group_name_Hall '-R 3 2"'
_cell_length_a 3.4668
_cell_length_b 3.4668
_cell_length_c 24.9693
_cell_angle_alpha 90.00
_cell_angle_beta 90.00
_cell_angle_gamma 120.00
loop_
_atom_site_label
_atom_site_type_symbol
_atom_site_fract_x
_atom_site_fract_y
_atom_site_fract_z
_atom_site_occupancy
Tl1 Tl 0.0000 0.0000 0.0000 1
Ag1 Ag 0.0000 0.0000 0.5000 1
Au1 Au 0.0000 0.0000 0.2457 1
```

=====

# TlAgAu6

A relaxed TlAgAu6 crystal (PBE-GGA, Alexandria via LeMat-Bulk).

Properties
Its formation enthalpy at 0 K is 0.176 eV/f.u. The spin magnetization comes out at 0.0 μB per cell. As for the density of states at the Fermi level: 1.29 states/eV/f.u.

CIF file:
```
data_TlAgAu6
_symmetry_space_group_name_H-M 'P m m 2'
_symmetry_Int_Tables_number 25
_symmetry_space_group_name_Hall 'P 2 -2'
_cell_length_a 4.904
_cell_length_b 6.025
_cell_length_c 5.120
_cell_angle_alpha 90.00
_cell_angle_beta 90.00
_cell_angle_gamma 90.00
loop_
_atom_site_label
_atom_site_type_symbol
_atom_site_fract_x
_atom_site_fract_y
_atom_site_fract_z
_atom_site_occupancy
Tl1 Tl 0.000 0.000 0.000 1
Ag1 Ag 0.500 0.500 0.327 1
Au1 Au 0.000 0.259 0.498 1
Au2 Au 0.000 0.500 0.998 1
Au3 Au 0.500 0.000 0.351 1
Au4 Au 0.500 0.257 0.831 1
```

=====

# TlAgAu2

A relaxed TlAgAu2 crystal (PBE-GGA, Alexandria via LeMat-Bulk).

Properties
Its formation enthalpy at 0 K is 0.207 eV/f.u. The spin magnetization comes out at 0.0 μB per cell. As for the density of states at the Fermi level: 1.73 states/eV/f.u.

CIF file:
```
data_TlAgAu2
_symmetry_space_group_name_H-M 'P m m m'
_symmetry_Int_Tables_number 47
_symmetry_space_group_name_Hall '-P 2 2'
_cell_length_a 3.390
_cell_length_b 3.852
_cell_length_c 6.248
_cell_angle_alpha 90.00
_cell_angle_beta 90.00
_cell_angle_gamma 90.00
loop_
_atom_site_label
_atom_site_type_symbol
_atom_site_fract_x
_atom_site_fract_y
_atom_site_fract_z
_atom_site_occupancy
Tl1 Tl 0.000 0.000 0.000 1
Ag1 Ag 0.000 0.000 0.500 1
Au1 Au 0.500 0.500 0.271 1
```

=====

# TlAgAu2

A relaxed TlAgAu2 crystal (PBE-GGA, Alexandria via LeMat-Bulk).

Properties
Its formation enthalpy at 0 K is 0.349 eV/f.u. The spin magnetization comes out at 0.0 μB per cell. As for the density of states at the Fermi level: 2.64 states/eV/f.u.

CIF file:
```
data_TlAgAu2
_symmetry_space_group_name_H-M 'F -4 3 m'
_symmetry_Int_Tables_number 216
_symmetry_space_group_name_Hall 'F -4 2 3'
_cell_length_a 6.851
_cell_length_b 6.851
_cell_length_c 6.851
_cell_angle_alpha 90.00
_cell_angle_beta 90.00
_cell_angle_gamma 90.00
loop_
_atom_site_label
_atom_site_type_symbol
_atom_site_fract_x
_atom_site_fract_y
_atom_site_fract_z
_atom_site_occupancy
Tl1 Tl 0.000 0.000 0.000 1
Ag1 Ag 0.250 0.250 0.250 1
Au1 Au 0.000 0.000 0.500 1
Au2 Au 0.250 0.250 0.750 1
```

=====

# TlAgAu2

A relaxed TlAgAu2 crystal (PBE-GGA, Alexandria via LeMat-Bulk).

Properties
Its formation enthalpy at 0 K is 0.330 eV/f.u. The spin magnetization comes out at 0.0 μB per cell. As for the density of states at the Fermi level: 1.41 states/eV/f.u.

CIF file:
```
data_TlAgAu2
_symmetry_space_group_name_H-M 'F m -3 m'
_symmetry_Int_Tables_number 225
_symmetry_space_group_name_Hall '-F 4 2 3'
_cell_length_a 6.857
_cell_length_b 6.857
_cell_length_c 6.857
_cell_angle_alpha 90.00
_cell_angle_beta 90.00
_cell_angle_gamma 90.00
loop_
_atom_site_label
_atom_site_type_symbol
_atom_site_fract_x
_atom_site_fract_y
_atom_site_fract_z
_atom_site_occupancy
Tl1 Tl 0.000 0.000 0.000 1
Ag1 Ag 0.000 0.000 0.500 1
Au1 Au 0.250 0.250 0.250 1
```

=====

# TlAg6Au6

A relaxed TlAg6Au6 crystal (PBE-GGA, Alexandria via LeMat-Bulk).

Properties
Its formation enthalpy at 0 K is 0.089 eV/f.u. The spin magnetization comes out at 0.0 μB per cell. As for the density of states at the Fermi level: 3.52 states/eV/f.u.

CIF file:
```
data_TlAg6Au6
_symmetry_space_group_name_H-M 'I m m m'
_symmetry_Int_Tables_number 71
_symmetry_space_group_name_Hall '-I 2 2'
_cell_length_a 5.509
_cell_length_b 9.654
_cell_length_c 9.771
_cell_angle_alpha 90.00
_cell_angle_beta 90.00
_cell_angle_gamma 90.00
loop_
_atom_site_label
_atom_site_type_symbol
_atom_site_fract_x
_atom_site_fract_y
_atom_site_fract_z
_atom_site_occupancy
Tl1 Tl 0.000 0.000 0.000 1
Ag1 Ag 0.000 0.000 0.356 1
Ag2 Ag 0.000 0.290 0.500 1
Ag3 Ag 0.000 0.352 0.000 1
Au1 Au 0.000 0.500 0.272 1
Au2 Au 0.250 0.250 0.250 1
```

=====

# TlAgAu2

A relaxed TlAgAu2 crystal (PBE-GGA, Alexandria via LeMat-Bulk).

Properties
Its formation enthalpy at 0 K is 0.211 eV/f.u. The spin magnetization comes out at 0.0 μB per cell. As for the density of states at the Fermi level: 1.01 states/eV/f.u.

CIF file:
```
data_TlAgAu2
_symmetry_space_group_name_H-M 'I -4 m 2'
_symmetry_Int_Tables_number 119
_symmetry_space_group_name_Hall 'I -4 -2'
_cell_length_a 4.233
_cell_length_b 4.233
_cell_length_c 8.933
_cell_angle_alpha 90.00
_cell_angle_beta 90.00
_cell_angle_gamma 90.00
loop_
_atom_site_label
_atom_site_type_symbol
_atom_site_fract_x
_atom_site_fract_y
_atom_site_fract_z
_atom_site_occupancy
Tl1 Tl 0.000 0.000 0.000 1
Ag1 Ag 0.000 0.500 0.750 1
Au1 Au 0.000 0.000 0.500 1
Au2 Au 0.000 0.500 0.250 1
```